Record 1
Lu2ZrPt PBE-GGA relaxed; ΔE_f = -0.632 eV per atom; total DFT energy (no corrections) = -6.540 eV per atom; calculated volume = 22.921 Å³ per atom
1.0
-2.849 1.536 1.165
-1.515 -0.500 -3.048
-2.683 -6.841 2.455
Zr Lu Pt
1 2 1
Direct
0.500 0.500 0.500 Zr
0.000 0.000 0.786 Lu
0.000 0.000 0.214 Lu
0.500 0.500 0.000 Pt

---

Record 2
La3Tm7 PBE-GGA relaxed; ΔE_f = 0.039 eV per atom; total DFT energy (no corrections) = -4.569 eV per atom; calculated volume = 32.209 Å³ per atom
1.0
-3.733 -2.516 2.331
-2.548 -2.075 -6.320
7.656 -5.494 0.819
Tm La
7 3
Direct
0.401 0.699 0.802 Tm
0.400 0.197 0.799 Tm
0.600 0.803 0.201 Tm
0.000 0.500 0.000 Tm
0.800 0.899 0.600 Tm
0.599 0.301 0.198 Tm
0.200 0.101 0.400 Tm
0.803 0.397 0.605 La
0.197 0.603 0.395 La
0.000 0.000 0.000 La

---

Record 3
BaGaCo PBE-GGA relaxed; ΔE_f = -0.014 eV per atom; total DFT energy (no corrections) = -4.033 eV per atom; calculated volume = 25.164 Å³ per atom
1.0
4.937 0.000 0.000
0.000 4.202 0.000
0.000 -2.101 3.639
Co Ga Ba
1 1 1
Direct
0.167 0.667 0.333 Co
0.167 0.000 0.000 Ga
0.666 0.333 0.667 Ba

---

Record 4
ThAgPb PBE-GGA relaxed; ΔE_f = -0.174 eV per atom; total DFT energy (no corrections) = -4.834 eV per atom; calculated volume = 26.567 Å³ per atom
1.0
-3.340 -2.817 -2.246
0.957 -6.137 0.890
-5.499 -0.177 3.017
Ag Pb Th
2 2 2
Direct
0.465 0.240 0.933 Ag
0.465 0.933 0.240 Ag
0.990 0.741 0.384 Pb
0.990 0.384 0.741 Pb
0.734 0.318 0.318 Th
0.233 0.819 0.819 Th

---

Record 5
Cr2CuSb2 PBE-GGA relaxed; formation energy without anion corrections = 0.414 eV per atom; excess energy over the best structure of this formula in the dataset = 0.0 kJ/mol of atoms; total DFT energy (no corrections) = -5.903 eV per atom; calculated volume = 17.938 Å³ per atom
1.0
7.420 0.000 0.000
0.000 7.420 0.000
0.000 0.000 3.258
Sb Cr Cu
4 4 2
Direct
0.161 0.339 0.000 Sb
0.661 0.161 0.000 Sb
0.839 0.661 0.000 Sb
0.339 0.839 0.000 Sb
0.136 0.636 0.500 Cr
0.364 0.136 0.500 Cr
0.864 0.364 0.500 Cr
0.636 0.864 0.500 Cr
0.500 0.500 0.000 Cu
0.000 0.000 0.000 Cu

---

Record 6
CdBr5 PBE-GGA relaxed; formation energy without anion corrections = -0.226 eV per atom; excess energy over the best structure of this formula in the dataset = 4.1 kJ/mol of atoms; total DFT energy (no corrections) = -1.773 eV per atom; calculated volume = 36.187 Å³ per atom
1.0
-3.661 3.343 -4.694
1.274 -5.964 3.070
-5.915 1.753 5.861
Br Cd
5 1
Direct
0.327 0.673 0.000 Br
0.757 0.243 0.500 Br
0.993 0.007 0.000 Br
0.478 0.522 0.500 Br
0.661 0.339 0.000 Br
0.118 0.882 0.500 Cd

---

Record 7
YNi2AsPb PBE-GGA relaxed; ΔE_f = -0.056 eV per atom; total DFT energy (no corrections) = -5.333 eV per atom; calculated volume = 22.754 Å³ per atom
1.0
4.606 0.000 0.000
0.000 5.363 0.000
0.000 0.000 4.606
Ni Y Pb As
2 1 1 1
Direct
0.000 0.000 0.500 Ni
0.500 0.000 0.000 Ni
0.000 0.500 0.000 Y
0.500 0.500 0.500 Pb
0.000 0.000 0.000 As

---

Record 8
MgCrBiCl2 PBE-GGA relaxed; formation energy without anion corrections = -0.231 eV per atom; total DFT energy (no corrections) = -3.989 eV per atom; calculated volume = 36.412 Å³ per atom
1.0
4.550 0.000 0.000
0.000 8.796 0.000
0.000 0.000 4.550
Mg Cr Cl Bi
1 1 2 1
Direct
0.000 0.000 0.000 Mg
0.000 0.500 0.000 Cr
0.500 0.000 0.000 Cl
0.000 0.000 0.500 Cl
0.500 0.500 0.500 Bi

---

Record 9
Dy2Y2Er5 PBE-GGA relaxed; excess energy over the best structure of this formula in the dataset = 0.0 kJ/mol of atoms; ΔE_f = 0.121 eV per atom; total DFT energy (no corrections) = -4.873 eV per atom; calculated volume = 31.473 Å³ per atom
1.0
5.481 0.000 1.666
1.326 6.535 5.486
0.203 1.551 9.177
Er Y Dy
5 2 2
Direct
0.791 0.347 0.071 Er
0.680 0.997 0.642 Er
0.209 0.653 0.929 Er
0.320 0.003 0.358 Er
0.000 0.000 0.000 Er
0.562 0.665 0.211 Y
0.438 0.335 0.789 Y
0.899 0.690 0.513 Dy
0.101 0.310 0.487 Dy

---

Record 10
Mg3Cd3Hg PBE-GGA relaxed; excess energy over the best structure of this formula in the dataset = 0.7 kJ/mol of atoms; ΔE_f = -0.094 eV per atom; total DFT energy (no corrections) = -1.213 eV per atom; calculated volume = 22.561 Å³ per atom
1.0
6.947 0.026 -0.001
0.042 6.947 -0.001
0.001 0.001 6.545
Hg Cd Mg
2 6 6
Direct
0.752 0.752 0.999 Hg
0.248 0.248 0.001 Hg
0.321 0.679 0.000 Cd
0.679 0.321 0.000 Cd
0.310 0.310 0.499 Cd
0.690 0.690 0.501 Cd
0.739 0.261 0.500 Cd
0.261 0.739 0.500 Cd
0.501 0.000 0.247 Mg
0.000 0.499 0.753 Mg
0.000 0.000 0.252 Mg
0.000 0.000 0.748 Mg
0.499 0.000 0.753 Mg
0.000 0.501 0.247 Mg

---

Record 11
NaTl2Cl6 PBE-GGA relaxed; formation energy without anion corrections = -0.879 eV per atom; total DFT energy (no corrections) = -2.783 eV per atom; calculated volume = 31.672 Å³ per atom
1.0
5.181 0.000 0.000
-2.590 6.760 -0.875
0.000 -3.377 8.576
Tl Cl Na
2 6 1
Direct
0.178 0.355 0.136 Tl
0.822 0.645 0.864 Tl
0.007 0.014 0.198 Cl
0.993 0.986 0.802 Cl
0.640 0.281 0.586 Cl
0.694 0.388 0.070 Cl
0.360 0.719 0.414 Cl
0.306 0.612 0.930 Cl
0.000 0.000 0.500 Na